The following is a PBE calculation of a relaxed structure of TbPm2NdSm, from Alexandria.

Cell: 6.714 8.302 6.262 Å, 90.47 90.00 90.00°
Element x y z (fractional)
Pm  0.307  0.693  0.253
Pm  0.693  0.693  0.753
Pm  0.307  0.307  0.247
Pm  0.693  0.307  0.747
Sm  0.426  0.000  0.750
Sm  0.574  0.000  0.250
Nd  0.000  0.000  0.000
Nd  0.000  0.000  0.500
Tb  0.161  0.500  0.750
Tb  0.839  0.500  0.250

Properties
As for the symmetry: P2/c (13). For the total magnetization, the calculation gives 0.000 μB per cell. The raw total energy comes out at -4.461 eV per atom.

---

The following is a PBE calculation of a relaxed structure of H6IrCl12, from Alexandria.

Cell: 9.251 9.251 9.251 Å, 112.05 112.05 112.05°
Each line ends with the local moment (μB).
Element x y z (fractional)
H  0.311  0.815  0.954  0.00
H  0.185  0.046  0.689  0.00
H  0.046  0.689  0.185  0.00
H  0.954  0.311  0.815  0.00
H  0.689  0.185  0.046  0.00
H  0.815  0.954  0.311  0.00
Cl  0.040  0.177  0.284  0.16
Cl  0.716  0.960  0.823  0.16
Cl  0.714  0.302  0.201  0.04
Cl  0.201  0.714  0.302  0.04
Cl  0.823  0.716  0.960  0.16
Cl  0.698  0.799  0.286  0.04
Cl  0.177  0.284  0.040  0.16
Cl  0.960  0.823  0.716  0.16
Cl  0.284  0.040  0.177  0.16
Cl  0.286  0.698  0.799  0.04
Cl  0.302  0.201  0.714  0.04
Cl  0.799  0.286  0.698  0.04
Ir  0.000  0.000  0.000  1.23

Properties
As for the symmetry: R-3 (148). For the total magnetization, the calculation gives 2.907 μB per cell. The raw total energy comes out at -3.074 eV per atom.

---

The following is a PBE calculation of a relaxed structure of LaY8Ho3, from Alexandria.

Cell: 8.499 8.499 8.502 Å, 96.15 99.79 136.29°
Element x y z (fractional)
Y  0.834  0.253  0.087
Y  0.829  0.165  0.664
Y  0.835  0.667  0.168
Y  0.834  0.748  0.581
Y  0.500  0.667  0.832
Y  0.502  0.166  0.336
Y  0.166  0.747  0.913
Y  0.166  0.253  0.419
La  0.169  0.169  0.000
Ho  0.499  0.246  0.748
Ho  0.498  0.750  0.252
Ho  0.169  0.669  0.500

Properties
As for the symmetry: Imm2 (44). For the total magnetization, the calculation gives 0.001 μB per cell. The raw total energy comes out at -5.855 eV per atom.

---

The following is a PBE calculation of a relaxed structure of Rb3CePr2Se6, from Alexandria.

Cell: 7.646 7.646 8.410 Å, 98.71 98.71 120.00°
Each line ends with the local moment (μB).
Element x y z (fractional)
Pr  0.333  0.667  0.000  0.01
Pr  0.667  0.333  0.000  0.01
Se  0.265  0.265  0.799  -0.01
Se  0.399  0.067  0.201  -0.01
Se  0.933  0.601  0.799  -0.01
Se  0.067  0.399  0.201  -0.01
Se  0.735  0.735  0.201  -0.01
Se  0.601  0.933  0.799  -0.01
Ce  0.000  0.000  0.000  0.96
Rb  0.500  0.500  0.500  0.00
Rb  0.167  0.833  0.500  0.00
Rb  0.833  0.167  0.500  0.00

Properties
As for the symmetry: C2/m (12). For the total magnetization, the calculation gives 1.019 μB per cell. The raw formation energy is -1.711 eV per atom. The raw total energy comes out at -4.986 eV per atom.

---

The following is a PBE calculation of a relaxed structure of Pm2YSc2, from Alexandria.

Cell: 5.426 3.617 15.682 Å, 96.62 99.96 90.00°
Element x y z (fractional)
Y  0.837  0.587  0.673
Y  0.163  0.413  0.327
Sc  0.953  0.203  0.906
Sc  0.464  0.714  0.928
Sc  0.536  0.286  0.072
Sc  0.047  0.797  0.094
Pm  0.380  0.130  0.760
Pm  0.724  0.974  0.447
Pm  0.276  0.026  0.553
Pm  0.620  0.870  0.240

Properties
As for the symmetry: Imma (74). For the total magnetization, the calculation gives 0.000 μB per cell. The raw total energy comes out at -5.599 eV per atom. The offset from the most stable computed form is 0.000 eV per atom.

---

The following is a PBE calculation of a relaxed structure of Sm2PdCl2, from Alexandria.

Cell: 4.022 4.022 10.714 Å, 79.18 79.18 60.00°
Element x y z (fractional)
Cl  0.778  0.778  0.667
Cl  0.222  0.222  0.333
Sm  0.389  0.389  0.834
Sm  0.611  0.611  0.166
Pd  0.000  0.000  0.000

Properties
As for the symmetry: R-3m (166). For the total magnetization, the calculation gives 0.000 μB per cell. The raw formation energy is -1.490 eV per atom. The raw total energy comes out at -5.155 eV per atom.